(1)
A plane-wave DFT calculation with PBE was carried out for a relaxed structure of Pr2PPd4Pt2.

Structure (POSCAR):
```
Pr2PPd4Pt2
1.0
6.200 -0.363 -0.573
-2.823 5.532 0.573
-2.823 -1.844 5.248
Pt Pr Pd P
2 2 4 1
Direct
0.000 0.263 0.263
0.000 0.737 0.737
0.500 0.250 0.750
0.500 0.750 0.250
0.000 0.270 0.730
0.459 0.730 0.730
0.000 0.730 0.270
0.541 0.270 0.270
0.000 0.000 0.000
```

Calculated values
ΔE_f (eV per atom): -0.847


(2)
A plane-wave DFT calculation with PBE was carried out for a relaxed structure of PrP2Pd2Pt.

Structure (POSCAR):
```
PrP2Pd2Pt
1.0
-1.972 -3.492 -1.488
2.695 -2.469 2.221
-4.555 3.116 4.873
Pr Pd Pt P
1 2 1 2
Direct
0.500 0.500 0.000
0.750 0.250 0.500
0.250 0.750 0.500
0.000 0.000 0.000
0.168 0.168 0.336
0.832 0.832 0.664
```

Calculated values
ΔE_f (eV per atom): -0.699


(3)
A plane-wave DFT calculation with PBE was carried out for a relaxed structure of Pr2P4PdPt3.

Structure (POSCAR):
```
Pr2P4PdPt3
1.0
4.335 0.000 0.000
0.000 4.335 0.000
0.000 0.000 9.557
P Pt Pd Pr
4 3 1 2
Direct
0.000 0.000 0.000
0.500 0.500 0.000
0.000 0.500 0.367
0.500 0.000 0.633
0.500 0.000 0.885
0.000 0.000 0.500
0.000 0.500 0.115
0.500 0.500 0.500
0.000 0.500 0.753
0.500 0.000 0.247
```

Calculated values
ΔE_f (eV per atom): -1.006


(4)
A plane-wave DFT calculation with PBE was carried out for a relaxed structure of PrP2PdRh2.

Structure (POSCAR):
```
PrP2PdRh2
1.0
4.498 0.000 0.000
0.000 4.498 0.000
0.000 0.000 5.594
Pd Rh P Pr
1 2 2 1
Direct
0.000 0.000 0.000
0.500 0.500 0.245
0.500 0.500 0.755
0.000 0.500 0.000
0.500 0.000 0.000
0.000 0.000 0.500
```

Calculated values
ΔE_f (eV per atom): -0.227


(5)
A plane-wave DFT calculation with PBE was carried out for a relaxed structure of Pr2SbP3Pd4.

Structure (POSCAR):
```
Pr2SbP3Pd4
1.0
4.213 0.000 0.000
0.000 4.213 0.000
0.000 0.000 10.771
Pr P Pd Sb
2 3 4 1
Direct
0.500 0.000 0.227
0.000 0.500 0.773
0.000 0.000 0.500
0.500 0.000 0.872
0.000 0.500 0.128
0.500 0.500 0.000
0.000 0.500 0.350
0.500 0.000 0.650
0.000 0.000 0.000
0.500 0.500 0.500
```

Calculated values
Formation energy (no corrections) (eV/atom): -0.857


(6)
A plane-wave DFT calculation with PBE was carried out for a relaxed structure of PrSb2P2Pd7.

Structure (POSCAR):
```
PrSb2P2Pd7
1.0
-2.961 -1.926 -2.304
2.115 -3.648 0.012
-6.062 -3.547 10.652
Pd P Pr Sb
7 2 1 2
Direct
0.644 0.644 0.592
0.658 0.152 0.749
0.356 0.356 0.408
0.152 0.658 0.749
0.848 0.342 0.251
0.342 0.848 0.251
0.500 0.500 0.000
0.350 0.350 0.166
0.650 0.650 0.834
0.000 0.000 0.000
0.828 0.828 0.400
0.172 0.172 0.600
```

Calculated values
Formation energy (no corrections) (eV/atom): -0.541


(7)
A plane-wave DFT calculation with PBE was carried out for a relaxed structure of Pr2SbPPd6.

Structure (POSCAR):
```
Pr2SbPPd6
1.0
5.599 0.000 0.000
0.000 8.346 0.000
0.000 0.000 8.916
Sb Pd Pr P
2 12 4 2
Direct
0.000 0.716 0.500
0.500 0.284 0.000
0.743 0.456 0.500
0.248 0.999 0.500
0.000 0.886 0.753
0.257 0.456 0.500
0.243 0.544 0.000
0.500 0.114 0.747
0.252 0.001 0.000
0.500 0.114 0.253
0.752 0.999 0.500
0.748 0.001 0.000
0.757 0.544 0.000
0.000 0.886 0.247
0.000 0.261 0.245
0.500 0.739 0.745
0.000 0.261 0.755
0.500 0.739 0.255
0.500 0.230 0.500
0.000 0.770 0.000
```

Calculated values
Formation energy (no corrections) (eV/atom): -0.757


(8)
A plane-wave DFT calculation with PBE was carried out for a relaxed structure of PrSn2P2Pd7.

Structure (POSCAR):
```
PrSn2P2Pd7
1.0
-3.412 2.194 -1.739
-2.227 0.236 3.804
5.249 10.132 2.456
Pd Pr Sn P
7 1 2 2
Direct
0.352 0.352 0.405
0.500 0.500 0.000
0.648 0.648 0.595
0.840 0.342 0.247
0.342 0.840 0.247
0.160 0.658 0.753
0.658 0.160 0.753
0.000 0.000 0.000
0.159 0.159 0.605
0.841 0.841 0.395
0.662 0.662 0.825
0.338 0.338 0.175
```

Calculated values
ΔE_f (eV per atom): -0.583